Entry 1:
A plane-wave DFT calculation with PBE was carried out for VCrCuBr after structural relaxation.

The space group is Cm (No. 8) and the conventional cell measures 4.685, 4.044 and 7.215 Å, with angles of 90.00, 104.00 and 90.00 degrees. Symmetry generates all atoms from V at (0.000, 0.000, 0.000), Cr at (0.000, 0.500, 0.172), Cu at (0.414, 0.000, 0.781) and Br at (0.220, 0.000, 0.420).

For the uncorrected formation energy, the calculation gives 0.37 eV/atom. Its energy above the most stable polymorph in this dataset is 0.44 eV/f.u.

Entry 2:
A plane-wave DFT calculation with PBE was carried out for Pr2DyIn2Hg2 after structural relaxation.

The space group is R-3m (No. 166, hexagonal axes) and the conventional cell measures 4.9281, 4.9281 and 28.3678 Å, with angles of 90.00, 90.00 and 120.00 degrees. Symmetry generates all atoms from Pr at (0.0000, 0.0000, 0.1273), Dy at (0.0000, 0.0000, 0.0000), In at (0.0000, 0.0000, 0.2613) and Hg at (0.0000, 0.0000, 0.3867).

The value obtained for the formation energy is -2.15 eV per formula unit.

Entry 3:
A plane-wave DFT calculation with PBE was carried out for ReAs2Ru after structural relaxation.

The space group is Fm-3m (No. 225) and the conventional cell measures 6.167, 6.167 and 6.167 Å, with angles of 90.00, 90.00 and 90.00 degrees. Symmetry generates all atoms from Re at (0.000, 0.000, 0.000), As at (0.250, 0.250, 0.250) and Ru at (0.000, 0.000, 0.500).

Its energy above the most stable polymorph in this dataset is 0.39 eV/f.u. The value obtained for the formation energy is 0.49 eV per formula unit.

Entry 4:
A plane-wave DFT calculation with PBE was carried out for PaCuHg2 after structural relaxation.

The space group is Fm-3m (No. 225) and the conventional cell measures 7.037, 7.037 and 7.037 Å, with angles of 90.00, 90.00 and 90.00 degrees. Symmetry generates all atoms from Pa at (0.000, 0.000, 0.000), Cu at (0.000, 0.000, 0.500) and Hg at (0.250, 0.250, 0.250).

Its energy above the most stable polymorph in this dataset is 0.15 eV/f.u. The value obtained for the formation energy is 0.67 eV per formula unit.

Entry 5:
A plane-wave DFT calculation with PBE was carried out for Pr8TcIr3Br4 after structural relaxation.

The space group is R-3m (No. 166, hexagonal axes) and the conventional cell measures 8.3256, 8.3256 and 23.6960 Å, with angles of 90.00, 90.00 and 120.00 degrees. Symmetry generates all atoms from Pr at (0.0000, 0.0000, 0.2311), Pr at (0.0058, 0.5029, 0.2331), Tc at (0.0000, 0.0000, 0.5000), Ir at (0.0000, 0.5000, 0.5000), Br at (0.0000, 0.0000, 0.0000) and Br at (0.0000, 0.5000, 0.0000).

For the uncorrected formation energy, the calculation gives -0.91 eV/atom.

Entry 6:
A plane-wave DFT calculation with PBE was carried out for Ta2AlCd after structural relaxation.

The space group is Fm-3m (No. 225) and the conventional cell measures 6.595, 6.595 and 6.595 Å, with angles of 90.00, 90.00 and 90.00 degrees. Symmetry generates all atoms from Ta at (0.250, 0.250, 0.250), Al at (0.000, 0.000, 0.000) and Cd at (0.000, 0.000, 0.500).

Its energy above the most stable polymorph in this dataset is 1.39 eV/f.u. The value obtained for the formation energy is 1.49 eV per formula unit.

Entry 7:
A plane-wave DFT calculation with PBE was carried out for Y2BePt after structural relaxation.

The space group is I-42d (No. 122) and the conventional cell measures 7.428, 7.428 and 7.006 Å, with angles of 90.00, 90.00 and 90.00 degrees. Symmetry generates all atoms from Y at (0.247, 0.250, 0.125), Be at (0.000, 0.000, 0.500) and Pt at (0.000, 0.000, 0.000).

The value obtained for the formation energy is -0.23 eV per formula unit.

Entry 8:
A plane-wave DFT calculation with PBE was carried out for Cr3GeOs after structural relaxation.

The space group is Pm-3m (No. 221) and the conventional cell measures 4.323, 4.323 and 4.323 Å, with angles of 90.00, 90.00 and 90.00 degrees. Symmetry generates all atoms from Cr at (0.000, 0.000, 0.500), Ge at (0.000, 0.000, 0.000) and Os at (0.500, 0.500, 0.500).

Its energy above the most stable polymorph in this dataset is 1.31 eV/f.u. The value obtained for the formation energy is 7.67 eV per formula unit.

Entry 9:
A plane-wave DFT calculation with PBE was carried out for Tl3SbF after structural relaxation.

The space group is Pm-3m (No. 221) and the conventional cell measures 5.261, 5.261 and 5.261 Å, with angles of 90.00, 90.00 and 90.00 degrees. Symmetry generates all atoms from Tl at (0.000, 0.000, 0.500), Sb at (0.500, 0.500, 0.500) and F at (0.000, 0.000, 0.000).

For the uncorrected formation energy, the calculation gives -0.57 eV/atom. Its energy above the most stable polymorph in this dataset is 0.18 eV/f.u.

Entry 10:
A plane-wave DFT calculation with PBE was carried out for K2NbPIr after structural relaxation.

The space group is P4/mmm (No. 123) and the conventional cell measures 6.655, 6.655 and 4.761 Å, with angles of 90.00, 90.00 and 90.00 degrees. Symmetry generates all atoms from K at (0.000, 0.500, 0.000), Nb at (0.000, 0.000, 0.000), P at (0.000, 0.000, 0.500) and Ir at (0.500, 0.500, 0.500).

The value obtained for the formation energy is 7.27 eV per formula unit.

Entry 11:
A plane-wave DFT calculation with PBE was carried out for Tl2InIr after structural relaxation.

The space group is C2/m (No. 12) and the conventional cell measures 5.951, 11.218 and 3.291 Å, with angles of 90.00, 123.34 and 90.00 degrees. Symmetry generates all atoms from Tl at (0.250, 0.250, 0.000), In at (0.000, 0.000, 0.500) and Ir at (0.000, 0.500, 0.500).

Its energy above the most stable polymorph in this dataset is 1.59 eV/f.u. The value obtained for the formation energy is 1.95 eV per formula unit.

Entry 12:
A plane-wave DFT calculation with PBE was carried out for SrLa2MgIr after structural relaxation.

The space group is P4/mmm (No. 123) and the conventional cell measures 5.628, 5.628 and 5.432 Å, with angles of 90.00, 90.00 and 90.00 degrees. Symmetry generates all atoms from Sr at (0.000, 0.000, 0.000), La at (0.000, 0.500, 0.500), Mg at (0.500, 0.500, 0.000) and Ir at (0.500, 0.500, 0.500).

Its energy above the most stable polymorph in this dataset is 0.00 eV/f.u. The value obtained for the formation energy is -1.61 eV per formula unit.

Entry 13:
A plane-wave DFT calculation with PBE was carried out for Na2BiSb2 after structural relaxation.

The space group is P4/mbm (No. 127) and the conventional cell measures 9.264, 9.264 and 3.304 Å, with angles of 90.00, 90.00 and 90.00 degrees. Symmetry generates all atoms from Na at (0.119, 0.381, 0.000), Bi at (0.000, 0.000, 0.500) and Sb at (0.180, 0.680, 0.500).

For the uncorrected formation energy, the calculation gives -0.19 eV/atom. Its energy above the most stable polymorph in this dataset is 0.19 eV/f.u.

Entry 14:
A plane-wave DFT calculation with PBE was carried out for La3Dy2TmS6 after structural relaxation.

The space group is C2/m (No. 12) and the conventional cell measures 6.888, 11.959 and 7.071 Å, with angles of 90.00, 109.04 and 90.00 degrees. Symmetry generates all atoms from La at (0.000, 0.000, 0.000), La at (0.000, 0.332, 0.000), Dy at (0.000, 0.167, 0.500), Tm at (0.000, 0.500, 0.500), S at (0.240, 0.335, 0.727) and S at (0.246, 0.000, 0.728).

For the uncorrected formation energy, the calculation gives -2.08 eV/atom.

Entry 15:
A plane-wave DFT calculation with PBE was carried out for NpTi2Ni after structural relaxation.

The space group is R-3m (No. 166, hexagonal axes) and the conventional cell measures 2.7505, 2.7505 and 29.1501 Å, with angles of 90.00, 90.00 and 120.00 degrees. Symmetry generates all atoms from Np at (0.0000, 0.0000, 0.0000), Ti at (0.0000, 0.0000, 0.0957) and Ni at (0.0000, 0.0000, 0.5000).

Its energy above the most stable polymorph in this dataset is 0.98 eV/f.u. The value obtained for the formation energy is 0.90 eV per formula unit.

Entry 16:
A plane-wave DFT calculation with PBE was carried out for Tb6PrDyTm2 after structural relaxation.

The space group is C2/c (No. 15) and the conventional cell measures 9.109, 14.964 and 9.611 Å, with angles of 90.00, 97.89 and 90.00 degrees. Symmetry generates all atoms from Tb at (0.065, 0.182, 0.444), Tb at (0.100, 0.394, 0.621), Tb at (0.202, 0.227, 0.819), Pr at (0.000, 0.405, 0.250), Dy at (0.000, 0.027, 0.750) and Tm at (0.244, 0.051, 0.045).

The value obtained for the formation energy is 1.23 eV per formula unit.

Entry 17:
A plane-wave DFT calculation with PBE was carried out for YBeAg2Pt after structural relaxation.

The space group is P4/mmm (No. 123) and the conventional cell measures 4.499, 4.499 and 4.497 Å, with angles of 90.00, 90.00 and 90.00 degrees. Symmetry generates all atoms from Y at (0.000, 0.000, 0.000), Be at (0.500, 0.500, 0.500), Ag at (0.000, 0.500, 0.500) and Pt at (0.500, 0.500, 0.000).

The value obtained for the formation energy is -1.49 eV per formula unit.

Entry 18:
A plane-wave DFT calculation with PBE was carried out for TiCdRu3 after structural relaxation.

The space group is Pm-3m (No. 221) and the conventional cell measures 4.540, 4.540 and 4.540 Å, with angles of 90.00, 90.00 and 90.00 degrees. Symmetry generates all atoms from Ti at (0.000, 0.000, 0.000), Cd at (0.500, 0.500, 0.500) and Ru at (0.000, 0.000, 0.500).

Its energy above the most stable polymorph in this dataset is 0.00 eV/f.u. The value obtained for the formation energy is 4.91 eV per formula unit.

Entry 19:
A plane-wave DFT calculation with PBE was carried out for YBePt3 after structural relaxation.

The space group is I4mm (No. 107) and the conventional cell measures 3.963, 3.963 and 10.748 Å, with angles of 90.00, 90.00 and 90.00 degrees. Symmetry generates all atoms from Y at (0.000, 0.000, 0.000), Be at (0.000, 0.000, 0.619), Pt at (0.000, 0.000, 0.414) and Pt at (0.000, 0.500, 0.231).

Its energy above the most stable polymorph in this dataset is 0.06 eV/f.u. The value obtained for the formation energy is -4.73 eV per formula unit.

Entry 20:
A plane-wave DFT calculation with PBE was carried out for Na3MgP2HO8 after structural relaxation.

The space group is P-1 (No. 2) and the conventional cell measures 5.222, 5.269 and 6.910 Å, with angles of 90.42, 91.92 and 117.29 degrees. Symmetry generates all atoms from Na at (0.000, 0.000, 0.000), Na at (0.339, 0.702, 0.713), Mg at (0.000, 0.000, 0.500), P at (0.336, 0.645, 0.258), H at (0.000, 0.500, 0.000), O at (0.212, 0.319, 0.290), O at (0.212, 0.782, 0.400), O at (0.240, 0.685, 0.045) and O at (0.330, 0.206, 0.726).

Entry 21:
A plane-wave DFT calculation with PBE was carried out for RbBaGa2 after structural relaxation.

The space group is Fm-3m (No. 225) and the conventional cell measures 8.279, 8.279 and 8.279 Å, with angles of 90.00, 90.00 and 90.00 degrees. Symmetry generates all atoms from Rb at (0.000, 0.000, 0.000), Ba at (0.000, 0.000, 0.500) and Ga at (0.250, 0.250, 0.250).

Its energy above the most stable polymorph in this dataset is 0.00 eV/f.u. The value obtained for the formation energy is 0.07 eV per formula unit.

Entry 22:
A plane-wave DFT calculation with PBE was carried out for Zr2InO after structural relaxation.

The space group is I-42d (No. 122) and the conventional cell measures 6.692, 6.692 and 7.152 Å, with angles of 90.00, 90.00 and 90.00 degrees. Symmetry generates all atoms from Zr at (0.141, 0.250, 0.125), In at (0.000, 0.000, 0.500) and O at (0.000, 0.000, 0.000).

For the uncorrected formation energy, the calculation gives -1.18 eV/atom. Its energy above the most stable polymorph in this dataset is 0.53 eV/f.u.

Entry 23:
A plane-wave DFT calculation with PBE was carried out for ZrGaGe after structural relaxation.

The space group is Cmcm (No. 63) and the conventional cell measures 3.863, 14.921 and 3.846 Å, with angles of 90.00, 90.00 and 90.00 degrees. Symmetry generates all atoms from Zr at (0.000, 0.096, 0.250), Ga at (0.000, 0.248, 0.750) and Ge at (0.000, 0.433, 0.250).

The value obtained for the formation energy is -1.74 eV per formula unit.

Entry 24:
A plane-wave DFT calculation with PBE was carried out for Ac6Pt3Rh2Se after structural relaxation.

The space group is C2/m (No. 12) and the conventional cell measures 19.058, 4.355 and 8.885 Å, with angles of 90.00, 102.63 and 90.00 degrees. Symmetry generates all atoms from Ac at (0.005, 0.000, 0.265), Ac at (0.169, 0.500, 0.582), Ac at (0.173, 0.500, 0.096), Pt at (0.000, 0.500, 0.500), Pt at (0.161, 0.000, 0.835), Rh at (0.166, 0.000, 0.335) and Se at (0.000, 0.500, 0.000).

For the uncorrected formation energy, the calculation gives -1.09 eV/atom.

Entry 25:
A plane-wave DFT calculation with PBE was carried out for KLaGa2Au after structural relaxation.

The space group is P4/mmm (No. 123) and the conventional cell measures 5.989, 5.989 and 5.714 Å, with angles of 90.00, 90.00 and 90.00 degrees. Symmetry generates all atoms from K at (0.000, 0.000, 0.000), La at (0.500, 0.500, 0.500), Ga at (0.000, 0.500, 0.500) and Au at (0.500, 0.500, 0.000).

The value obtained for the formation energy is 1.12 eV per formula unit.

Sequential uncorrected energy output: -46.05; -67.16; -122.13; -54.09; -289.54; -107.50; -91.69; -37.04; -15.93; -19.26; -28.76; -23.60; -31.45; -156.37; -100.83; -179.49; -23.43; -31.73; -66.08; -93.01; -35.48; -118.07; -71.72; -148.18; -14.24 eV per cell
Sequential theoretical density output: 6.17; 8.98; 12.38; 13.26; 7.43; 11.61; 6.56; 8.61; 8.60; 3.11; 12.95; 5.62; 5.84; 6.65; 10.21; 8.16; 9.28; 8.22; 13.44; 2.80; 4.24; 6.50; 7.00; 10.30; 4.17 g cm⁻³
Sequential total magnetic moment output: 0.000; 0.000; 0.000; 0.003; 0.000; 0.000; 0.000; 3.657; 0.000; 5.003; 0.000; 0.000; 0.000; 0.000; 1.033; 0.000; 0.000; 0.643; 0.000; 0.000; 0.000; 0.000; 0.000; 0.000; 0.000 μB/f.u.